! HgAu4 | the Alexandria database | meta-GGA SCAN | single point on PBEsol structure; values from VASP
&SYSTEM
  ibrav = 0, nat = 5, ntyp = 2
/
ATOMIC_SPECIES
Au 196.97 Au.upf
Hg 200.59 Hg.upf
CELL_PARAMETERS angstrom
-3.1527 -2.5436 1.1166
1.0390 -4.9158 -0.3581
-0.0532 -1.2644 4.8755
ATOMIC_POSITIONS crystal
Au 0.4019 0.4002 0.7960
Au 0.5981 0.5998 0.2040
Au 0.8021 0.7960 0.5998
Au 0.1979 0.2040 0.4002
Hg 0.0000 0.0000 0.0000
! DOS(E_F) = 1.348 states/eV/f.u.
! magnetization = 0.00 μB/f.u.
! formation enthalpy at 0 K = 51 meV/atom
! volume = 17.61 A^3/atom
! energy relative to the lowest polymorph listed for this composition = 0.00 eV per formula unit